GaRe3Sn: relaxed, PBE.

Lattice parameters (Å, degrees): 4.8668 4.8668 4.8668 90.00 90.00 90.00
Closest atoms and distances in Å follow each position.
Space group Pm-3m (No. 221)
Symmetry-distinct sites (fractional):
Ga 0.0000 0.0000 0.0000 x1  12 Re 3.44
Re 0.0000 0.5000 0.5000 x3  2 Sn 2.43
Sn 0.5000 0.5000 0.5000 x1  6 Re 2.43

## Properties
The density of states at the Fermi level is 4.28 states/eV per cell. The offset from the most stable computed form comes out at 0.986 eV/atom. The calculation puts the total magnetic moment at 0.638 μB/atom. Its mass density is 10.8 g/cm3. For the calculated formation energy, the calculation gives 2770 meV/atom.